The following is a PBE calculation of an optimized crystal structure of RuRhPb2O8, from the Alexandria database.

Cell and atoms, written as POSCAR:
```
RuRhPb2O8
1.0
-3.714 -0.512 3.177
-2.177 -3.009 -3.106
3.073 -5.085 2.772
O Ru Rh Pb
8 1 1 2
direct
0.838 0.183 0.245
0.305 0.279 0.500
0.300 0.278 0.000
0.162 0.817 0.755
0.838 0.182 0.755
0.695 0.721 0.500
0.700 0.722 0.000
0.162 0.818 0.245
0.000 0.000 0.000
0.000 0.000 0.500
0.500 0.500 0.251
0.500 0.500 0.749
```

Results
DOS at the Fermi energy: 6.1 states/eV per cell
energy: -73.0 eV per cell
SG: P2/m (10)

---

The following is a PBE calculation of an optimized crystal structure of Sb3RhPb4O13, from the Alexandria database.

Cell and atoms, written as POSCAR:
```
Sb3RhPb4O13
1.0
7.481 -0.003 -0.002
3.643 6.534 -0.002
3.643 2.139 6.174
O Sb Pb Rh
13 3 4 1
direct
0.422 0.422 0.832
0.575 0.575 0.171
0.575 0.171 0.575
0.832 0.422 0.422
0.422 0.832 0.422
0.821 0.426 0.821
0.181 0.573 0.181
0.821 0.821 0.426
0.171 0.575 0.575
0.426 0.821 0.821
0.573 0.181 0.181
0.124 0.124 0.124
0.181 0.181 0.573
0.001 0.500 0.500
0.500 0.001 0.500
0.500 0.500 0.001
0.999 0.505 0.999
0.505 0.999 0.999
0.998 0.998 0.998
0.999 0.999 0.505
0.499 0.499 0.499
```

Results
DOS at the Fermi energy: 2.6 states/eV per cell
energy: -126.0 eV per cell
SG: R3m (160)

---

The following is a PBE calculation of an optimized crystal structure of SbRhPb2O6, from the Alexandria database.

Cell and atoms, written as POSCAR:
```
SbRhPb2O6
1.0
5.866 0.000 -0.020
0.000 5.689 0.000
0.022 0.000 8.037
Sb O Pb Rh
2 12 4 2
direct
0.500 0.000 0.500
0.000 0.500 0.000
0.077 0.500 0.755
0.258 0.749 0.451
0.242 0.249 0.049
0.423 0.000 0.745
0.742 0.251 0.549
0.255 0.248 0.451
0.577 0.000 0.255
0.745 0.752 0.549
0.245 0.748 0.049
0.923 0.500 0.245
0.755 0.252 0.951
0.758 0.751 0.951
0.987 0.001 0.748
0.487 0.499 0.248
0.013 0.999 0.252
0.513 0.501 0.752
0.000 0.500 0.500
0.500 0.000 0.000
```

Results
DOS at the Fermi energy: 2.3 states/eV per cell
energy: -118.1 eV per cell
SG: P2_1/c (14)